Entry 1:
8
Lattice="6.559 0.000 0.000 0.000 6.559 0.000 3.280 3.280 4.485" Properties=species:S:1:pos:R:3 comment="PBE Cr2ReI, relaxed" vol_a3_per_cell=193 e_form_raw_ev_per_atom=1.2189 polymorph_energy_ev_per_atom=0.073 pbc="T T T"
Cr 1.326 4.919 1.121
I 3.280 6.559 2.243
Re 6.559 3.280 2.243
I 3.280 3.280 0.000
Re 0.000 0.000 0.000
Cr 4.919 4.606 3.364
Cr 5.233 1.640 1.121
Cr 8.199 8.513 3.364

***

Entry 2:
4
Lattice="-1.800 0.927 4.302 1.243 -3.850 1.349 5.412 0.165 2.229" Properties=species:S:1:pos:R:3 comment="PBE SrAg2Pb, relaxed" vol_a3_per_cell=111 ef_mev_per_atom=-164.4 pbc="T T T"
Ag 5.594 -0.581 2.465
Ag 0.611 0.305 2.817
Sr 4.540 -2.377 5.039
Pb 2.850 -1.782 1.576

***

Entry 3:
5
Lattice="-1.182 3.732 0.621 -0.485 -0.794 3.852 3.931 1.124 0.727" Properties=species:S:1:pos:R:3 comment="PBE MgAgHRh2, relaxed" vol_a3_per_cell=65 polymorph_energy_ev_per_atom=0.013 pbc="T T T"
H 0.000 0.000 0.000
Rh -0.591 1.866 0.310
Rh -0.243 -0.397 1.926
Mg 1.132 2.031 2.600
Ag 1.966 0.562 0.363

***

Entry 4:
9
Lattice="5.102 0.000 0.000 0.000 7.520 0.000 -2.551 -3.760 7.561" Properties=species:S:1:pos:R:3 comment="PBE K5BrCl2O, relaxed" vol_a3_per_cell=290 e_form_raw_ev_per_atom=-1.5960 pbc="T T T"
K 2.551 5.750 1.900
O 2.551 0.000 0.000
Cl 0.000 0.000 3.188
K 0.000 0.000 0.000
Br 0.000 3.760 0.000
K 0.000 1.990 5.662
K 2.551 1.770 1.900
Cl 2.551 3.760 4.373
K 0.000 -1.990 5.662

***

Entry 5:
4
Lattice="5.296 0.005 -0.015 -2.402 4.720 -0.015 0.475 0.775 2.639" Properties=species:S:1:pos:R:3 comment="PBE AgAsW2, relaxed" vol_a3_per_cell=66 ef_mev_per_atom=692.4 pbc="T T T"
Ag 2.885 0.390 1.312
W 0.000 0.000 0.000
W 1.447 2.362 -0.015
As -0.964 2.747 1.312

***

Entry 6:
5
Lattice="4.195 0.000 0.000 0.000 4.195 0.000 0.000 0.000 4.522" Properties=species:S:1:pos:R:3 comment="PBE KInO2F, relaxed" vol_a3_per_cell=80 e_form_raw_ev_per_atom=-1.5694 pbc="T T T"
F 0.000 0.000 2.261
K 2.098 2.098 2.261
In 0.000 0.000 0.000
O 0.000 2.098 0.000
O 2.098 0.000 0.000